(1)
First-principles (GGA-PBE) data for CaCd2P after structural relaxation, as listed in Alexandria via LeMat-Bulk.

Cell lengths 3.8398, 4.1981, 6.2452 Å; angles 70.50, 90.00, 90.00 degrees
Closest atoms and distances in Å follow each position.
Element x y z (fractional)
P 0.0000 0.2781 0.5711  3 Cd 2.71-2.76, 4 Ca 2.89-2.90
Cd 0.0000 0.0454 0.0318  1 P 2.71
Cd 0.5000 0.4450 0.2331  2 P 2.76, 4 Cd 3.08
Ca 0.5000 0.7315 0.6639  4 P 2.89-2.90

Values from the calculation:
formation energy	-0.445	eV per atom

***

(2)
First-principles (GGA-PBE) data for RbLi2Np3Se6 after structural relaxation, as listed in Alexandria via LeMat-Bulk.

Cell lengths 4.1947, 9.4819, 9.9367 Å; angles 110.03, 102.19, 90.00 degrees
Closest atoms and distances in Å follow each position.
Element x y z (fractional)
Rb 0.5000 0.0000 0.0000  6 Se 3.29-3.45
Li 0.8617 0.5663 0.7234  3 Se 2.58-2.63
Li 0.1383 0.4337 0.2766  3 Se 2.58-2.63
Se 0.9956 0.2854 0.9911  1 Li 2.63, 2 Np 2.90
Se 0.0044 0.7146 0.0089  1 Li 2.63, 2 Np 2.90
Se 0.3249 0.9599 0.6499  3 Np 2.83-2.87
Se 0.6631 0.6035 0.3263  2 Li 2.58
Se 0.6751 0.0401 0.3501  3 Np 2.83-2.87
Se 0.3369 0.3965 0.6737  2 Li 2.58
Np 0.5000 0.5000 0.0000  6 Se 2.90-2.97
Np 0.1695 0.8300 0.3390  6 Se 2.83-3.00
Np 0.8305 0.1700 0.6610  6 Se 2.83-3.00

Values from the calculation:
formation energy without anion corrections	-1.1351	eV/atom

***

(3)
First-principles (GGA-PBE) data for Ce2Zn5Pd3 after structural relaxation, as listed in Alexandria via LeMat-Bulk.

Cell lengths 5.8902, 8.5753, 8.5753 Å; angles 78.84, 69.91, 69.91 degrees
Closest atoms and distances in Å follow each position.
Element x y z (fractional)
Zn 0.4679 0.2821 0.2821  3 Zn 2.52-2.59, 2 Pd 2.63
Zn 0.5321 0.7179 0.7179  3 Zn 2.52-2.59, 2 Pd 2.63
Zn 0.8570 0.0320 0.2541  3 Pd 2.51-2.55, 2 Zn 2.52
Zn 0.0321 0.7179 0.7179  3 Zn 2.52-2.59, 2 Pd 2.63
Zn 0.3570 0.2541 0.0320  3 Pd 2.51-2.55, 2 Zn 2.52
Zn 0.7500 0.5000 0.5000  2 Zn 2.59, 4 Pd 2.63
Zn 0.1430 0.9680 0.7459  3 Pd 2.51-2.55, 2 Zn 2.52
Zn 0.6430 0.7459 0.9680  3 Pd 2.51-2.55, 2 Zn 2.52
Zn 0.9679 0.2821 0.2821  3 Zn 2.52-2.59, 2 Pd 2.63
Zn 0.2500 0.5000 0.5000  2 Zn 2.59, 4 Pd 2.63
Pd 0.7500 0.0000 0.0000  4 Zn 2.55
Pd 0.8905 0.7706 0.4484  5 Zn 2.51-2.63
Pd 0.2500 0.0000 0.0000  4 Zn 2.55
Pd 0.6095 0.5516 0.2294  5 Zn 2.51-2.63
Pd 0.1095 0.2294 0.5516  5 Zn 2.51-2.63
Pd 0.3905 0.4484 0.7706  5 Zn 2.51-2.63
Ce 0.1264 0.6463 0.1009  6 Pd 3.05-3.25, 3 Zn 3.21-3.25
Ce 0.3736 0.8991 0.3537  6 Pd 3.05-3.25, 3 Zn 3.21-3.25
Ce 0.6264 0.1009 0.6463  6 Pd 3.05-3.25, 3 Zn 3.21-3.25
Ce 0.8736 0.3537 0.8991  6 Pd 3.05-3.25, 3 Zn 3.21-3.25

Values from the calculation:
formation energy	-0.484	eV per atom